(1)
A plane-wave DFT calculation with GGA-PBE was carried out for a geometry-optimized Cs2Pd2Pb structure. Values from VASP.

The structure in Quantum ESPRESSO input format:
```
&SYSTEM
  ibrav = 0, nat = 10, ntyp = 3
/
ATOMIC_SPECIES
Cs 132.91 Cs.upf
Pd 106.42 Pd.upf
Pb 207.20 Pb.upf
CELL_PARAMETERS angstrom
7.346 0.000 0.000
0.000 7.346 0.000
0.000 0.000 5.978
ATOMIC_POSITIONS angstrom
Cs 6.034 2.361 2.989
Cs 1.312 4.985 2.989
Cs 4.985 6.034 2.989
Cs 2.361 1.312 2.989
Pd 2.709 6.381 0.000
Pd 4.637 0.964 0.000
Pd 6.381 4.637 0.000
Pd 0.964 2.709 0.000
Pb 0.000 0.000 0.000
Pb 3.673 3.673 0.000
```

Output
E_tot   -3.118 eV/atom
Spin magnetization   0.00 μB per formula unit
Crystal system   tetragonal
Symmetry   P4/mbm (127)

(2)
A plane-wave DFT calculation with GGA-PBE was carried out for a geometry-optimized CsPdPt2Pb structure. Values from VASP.

The structure in Quantum ESPRESSO input format:
```
&SYSTEM
  ibrav = 0, nat = 5, ntyp = 4
/
ATOMIC_SPECIES
Pt 195.08 Pt.upf
Pb 207.20 Pb.upf
Pd 106.42 Pd.upf
Cs 132.91 Cs.upf
CELL_PARAMETERS angstrom
-4.845 1.791 -0.163
-2.158 -5.719 1.334
0.233 1.089 5.047
ATOMIC_POSITIONS angstrom
Pt 0.117 0.545 2.523
Pt -2.423 0.895 -0.081
Pb -1.079 -2.859 0.667
Pd -3.385 -1.420 3.109
Cs 0.000 0.000 0.000
```

Output
E_tot   -2.465 eV/atom
Spin magnetization   0.00 μB per formula unit
Crystal system   tetragonal
Symmetry   P4/mmm (123)